No. 1
# LaPm2Dy5Er PBE relaxed
# Formation energy from the elements: 230 kJ/mol of formula units
# E: -4.402 eV/atom
data_LaPm2Dy5Er
_chemical_formula_sum 'La2 Pm4 Dy10 Er2'
_cell_length_a 8.773
_cell_length_b 8.773
_cell_length_c 9.921
_cell_angle_alpha 116.24
_cell_angle_beta 116.24
_cell_angle_gamma 90.00
_space_group_name_H-M_alt 'P 1'
_space_group_IT_number 1
_space_group_name_Hall 'P 1'
loop_
_atom_site_label
_atom_site_type_symbol
_atom_site_fract_x
_atom_site_fract_y
_atom_site_fract_z
La1 La 0.250 0.250 0.500
La2 La 0.750 0.750 0.500
Pm1 Pm 0.117 0.383 0.000
Pm2 Pm 0.617 0.117 0.000
Pm3 Pm 0.383 0.883 0.000
Pm4 Pm 0.883 0.617 0.000
Dy1 Dy 0.927 0.427 0.272
Dy2 Dy 0.655 0.155 0.728
Dy3 Dy 0.073 0.573 0.728
Dy4 Dy 0.155 0.073 0.728
Dy5 Dy 0.573 0.655 0.728
Dy6 Dy 0.845 0.927 0.272
Dy7 Dy 0.427 0.345 0.272
Dy8 Dy 0.345 0.845 0.272
Dy9 Dy 0.500 0.500 0.000
Dy10 Dy 0.000 0.000 0.000
Er1 Er 0.250 0.750 0.500
Er2 Er 0.750 0.250 0.500

---

No. 2
# La2Pm6DyEr PBE relaxed
# Formation energy from the elements: 110 kJ/mol of formula units
# E: -4.638 eV/atom
data_La2Pm6DyEr
_chemical_formula_sum 'La4 Pm12 Dy2 Er2'
_cell_length_a 10.062
_cell_length_b 8.887
_cell_length_c 8.887
_cell_angle_alpha 118.03
_cell_angle_beta 95.25
_cell_angle_gamma 95.25
_space_group_name_H-M_alt 'P 1'
_space_group_IT_number 1
_space_group_name_Hall 'P 1'
loop_
_atom_site_label
_atom_site_type_symbol
_atom_site_fract_x
_atom_site_fract_y
_atom_site_fract_z
La1 La 0.459 0.807 0.708
La2 La 0.041 0.292 0.193
La3 La 0.541 0.193 0.292
La4 La 0.959 0.708 0.807
Pm1 Pm 0.056 0.123 0.742
Pm2 Pm 0.444 0.258 0.877
Pm3 Pm 0.944 0.877 0.258
Pm4 Pm 0.556 0.742 0.123
Pm5 Pm 0.311 0.981 0.418
Pm6 Pm 0.189 0.582 0.019
Pm7 Pm 0.689 0.019 0.582
Pm8 Pm 0.811 0.418 0.981
Pm9 Pm 0.121 0.706 0.501
Pm10 Pm 0.379 0.499 0.294
Pm11 Pm 0.879 0.294 0.499
Pm12 Pm 0.621 0.501 0.706
Dy1 Dy 0.250 0.988 0.012
Dy2 Dy 0.750 0.012 0.988
Er1 Er 0.250 0.405 0.595
Er2 Er 0.750 0.595 0.405

---

No. 3
# LaPm2Dy2Er PBE relaxed
# Formation energy from the elements: 35 kJ/mol of formula units
# E: -4.639 eV/atom
data_LaPm2Dy2Er
_chemical_formula_sum 'La2 Pm4 Dy4 Er2'
_cell_length_a 5.677
_cell_length_b 9.909
_cell_length_c 7.041
_cell_angle_alpha 90.00
_cell_angle_beta 90.00
_cell_angle_gamma 90.00
_space_group_name_H-M_alt 'P 1'
_space_group_IT_number 1
_space_group_name_Hall 'P 1'
loop_
_atom_site_label
_atom_site_type_symbol
_atom_site_fract_x
_atom_site_fract_y
_atom_site_fract_z
La1 La 0.000 0.000 0.000
La2 La 0.500 0.500 0.500
Pm1 Pm 0.500 0.833 0.253
Pm2 Pm 0.500 0.167 0.747
Pm3 Pm 0.000 0.667 0.753
Pm4 Pm 0.000 0.333 0.247
Dy1 Dy 0.500 0.167 0.251
Dy2 Dy 0.000 0.667 0.249
Dy3 Dy 0.500 0.833 0.749
Dy4 Dy 0.000 0.333 0.751
Er1 Er 0.500 0.500 0.000
Er2 Er 0.000 0.000 0.500

---

No. 4
# LaPmDy2Er PBE relaxed
# Formation energy from the elements: 175 kJ/mol of formula units
# E: -4.326 eV/atom
data_LaPmDy2Er
_chemical_formula_sum 'La2 Pm2 Dy4 Er2'
_cell_length_a 7.221
_cell_length_b 8.458
_cell_length_c 7.163
_cell_angle_alpha 126.19
_cell_angle_beta 90.00
_cell_angle_gamma 90.00
_space_group_name_H-M_alt 'P 1'
_space_group_IT_number 1
_space_group_name_Hall 'P 1'
loop_
_atom_site_label
_atom_site_type_symbol
_atom_site_fract_x
_atom_site_fract_y
_atom_site_fract_z
La1 La 0.750 0.734 0.469
La2 La 0.250 0.266 0.531
Pm1 Pm 0.250 0.002 0.003
Pm2 Pm 0.750 0.998 0.997
Dy1 Dy 0.500 0.312 0.000
Dy2 Dy 0.000 0.688 0.000
Dy3 Dy 0.500 0.688 0.000
Dy4 Dy 0.000 0.312 0.000
Er1 Er 0.250 0.719 0.437
Er2 Er 0.750 0.281 0.563

---

No. 5
# LaPm6Dy2Er3 PBE relaxed
# Formation energy from the elements: 22 kJ/mol of formula units
# E: -4.675 eV/atom
data_LaPm6Dy2Er3
_chemical_formula_sum 'La1 Pm6 Dy2 Er3'
_cell_length_a 6.256
_cell_length_b 6.256
_cell_length_c 11.907
_cell_angle_alpha 95.02
_cell_angle_beta 95.02
_cell_angle_gamma 120.00
_space_group_name_H-M_alt 'P 1'
_space_group_IT_number 1
_space_group_name_Hall 'P 1'
loop_
_atom_site_label
_atom_site_type_symbol
_atom_site_fract_x
_atom_site_fract_y
_atom_site_fract_z
La1 La 0.000 0.000 0.000
Pm1 Pm 0.915 0.581 0.747
Pm2 Pm 0.750 0.750 0.254
Pm3 Pm 0.085 0.419 0.253
Pm4 Pm 0.581 0.915 0.747
Pm5 Pm 0.250 0.250 0.746
Pm6 Pm 0.419 0.085 0.253
Dy1 Dy 0.333 0.667 0.000
Dy2 Dy 0.667 0.333 0.000
Er1 Er 0.167 0.833 0.500
Er2 Er 0.833 0.167 0.500
Er3 Er 0.500 0.500 0.500

---

No. 6
# LaPm2DyEr5 PBE relaxed
# Formation energy from the elements: 226 kJ/mol of formula units
# E: -4.390 eV/atom
data_LaPm2DyEr5
_chemical_formula_sum 'La2 Pm4 Dy2 Er10'
_cell_length_a 8.741
_cell_length_b 8.741
_cell_length_c 9.868
_cell_angle_alpha 116.29
_cell_angle_beta 116.29
_cell_angle_gamma 90.00
_space_group_name_H-M_alt 'P 1'
_space_group_IT_number 1
_space_group_name_Hall 'P 1'
loop_
_atom_site_label
_atom_site_type_symbol
_atom_site_fract_x
_atom_site_fract_y
_atom_site_fract_z
La1 La 0.250 0.250 0.500
La2 La 0.750 0.750 0.500
Pm1 Pm 0.116 0.384 0.000
Pm2 Pm 0.616 0.116 0.000
Pm3 Pm 0.384 0.884 0.000
Pm4 Pm 0.884 0.616 0.000
Dy1 Dy 0.250 0.750 0.500
Dy2 Dy 0.750 0.250 0.500
Er1 Er 0.927 0.427 0.271
Er2 Er 0.655 0.155 0.729
Er3 Er 0.073 0.573 0.729
Er4 Er 0.155 0.073 0.729
Er5 Er 0.573 0.655 0.729
Er6 Er 0.845 0.927 0.271
Er7 Er 0.427 0.345 0.271
Er8 Er 0.345 0.845 0.271
Er9 Er 0.500 0.500 0.000
Er10 Er 0.000 0.000 0.000

---

No. 7
# LaPmDy2Er4 PBE relaxed
# Formation energy from the elements: 18 kJ/mol of formula units
# E: -4.619 eV/atom
data_LaPmDy2Er4
_chemical_formula_sum 'La2 Pm2 Dy4 Er8'
_cell_length_a 10.136
_cell_length_b 9.993
_cell_length_c 12.288
_cell_angle_alpha 144.39
_cell_angle_beta 114.32
_cell_angle_gamma 90.01
_space_group_name_H-M_alt 'P 1'
_space_group_IT_number 1
_space_group_name_Hall 'P 1'
loop_
_atom_site_label
_atom_site_type_symbol
_atom_site_fract_x
_atom_site_fract_y
_atom_site_fract_z
La1 La 0.500 0.501 0.500
La2 La 0.000 0.000 0.000
Pm1 Pm 0.000 0.500 0.000
Pm2 Pm 0.000 0.500 0.500
Dy1 Dy 0.500 0.000 0.000
Dy2 Dy 0.500 0.000 0.500
Dy3 Dy 0.000 0.000 0.500
Dy4 Dy 0.500 0.500 0.000
Er1 Er 0.251 0.745 0.998
Er2 Er 0.748 0.242 0.495
Er3 Er 0.252 0.758 0.504
Er4 Er 0.749 0.255 0.002
Er5 Er 0.749 0.748 0.001
Er6 Er 0.748 0.749 0.495
Er7 Er 0.252 0.251 0.505
Er8 Er 0.251 0.252 0.999

---

No. 8
# La4Pm2DyEr2 PBE relaxed
# Formation energy from the elements: 24 kJ/mol of formula units
# E: -4.743 eV/atom
data_La4Pm2DyEr2
_chemical_formula_sum 'La4 Pm2 Dy1 Er2'
_cell_length_a 3.647
_cell_length_b 9.652
_cell_length_c 8.963
_cell_angle_alpha 89.88
_cell_angle_beta 90.00
_cell_angle_gamma 100.89
_space_group_name_H-M_alt 'P 1'
_space_group_IT_number 1
_space_group_name_Hall 'P 1'
loop_
_atom_site_label
_atom_site_type_symbol
_atom_site_fract_x
_atom_site_fract_y
_atom_site_fract_z
La1 La 0.777 0.555 0.674
La2 La 0.223 0.445 0.326
La3 La 0.555 0.110 0.327
La4 La 0.445 0.890 0.673
Pm1 Pm 0.888 0.777 0.327
Pm2 Pm 0.112 0.223 0.673
Dy1 Dy 0.000 0.000 0.000
Er1 Er 0.334 0.667 0.001
Er2 Er 0.666 0.333 0.999

---

No. 9
# La2PmDy6Er3 PBE relaxed
# Formation energy from the elements: 27 kJ/mol of formula units
# E: -4.635 eV/atom
data_La2PmDy6Er3
_chemical_formula_sum 'La2 Pm1 Dy6 Er3'
_cell_length_a 6.201
_cell_length_b 6.201
_cell_length_c 11.844
_cell_angle_alpha 95.00
_cell_angle_beta 95.00
_cell_angle_gamma 120.00
_space_group_name_H-M_alt 'P 1'
_space_group_IT_number 1
_space_group_name_Hall 'P 1'
loop_
_atom_site_label
_atom_site_type_symbol
_atom_site_fract_x
_atom_site_fract_y
_atom_site_fract_z
La1 La 0.333 0.667 0.000
La2 La 0.667 0.333 0.000
Pm1 Pm 0.000 0.000 0.000
Dy1 Dy 0.914 0.581 0.744
Dy2 Dy 0.753 0.753 0.256
Dy3 Dy 0.086 0.419 0.256
Dy4 Dy 0.581 0.914 0.744
Dy5 Dy 0.247 0.247 0.744
Dy6 Dy 0.419 0.086 0.256
Er1 Er 0.166 0.834 0.500
Er2 Er 0.834 0.166 0.500
Er3 Er 0.500 0.500 0.500

---

No. 10
# La4PmDyEr2 PBE relaxed
# Formation energy from the elements: 15 kJ/mol of formula units
# E: -4.754 eV/atom
data_La4PmDyEr2
_chemical_formula_sum 'La4 Pm1 Dy1 Er2'
_cell_length_a 5.246
_cell_length_b 5.215
_cell_length_c 11.303
_cell_angle_alpha 62.51
_cell_angle_beta 90.00
_cell_angle_gamma 90.00
_space_group_name_H-M_alt 'P 1'
_space_group_IT_number 1
_space_group_name_Hall 'P 1'
loop_
_atom_site_label
_atom_site_type_symbol
_atom_site_fract_x
_atom_site_fract_y
_atom_site_fract_z
La1 La 0.000 0.748 0.752
La2 La 0.000 0.252 0.248
La3 La 0.500 0.751 0.248
La4 La 0.500 0.249 0.752
Pm1 Pm 0.000 0.500 0.500
Dy1 Dy 0.500 0.500 0.000
Er1 Er 0.000 0.000 0.000
Er2 Er 0.500 0.000 0.500

---

No. 11
# La2Pm2DyEr2 PBE relaxed
# Formation energy from the elements: 18 kJ/mol of formula units
# E: -4.700 eV/atom
data_La2Pm2DyEr2
_chemical_formula_sum 'La2 Pm2 Dy1 Er2'
_cell_length_a 5.128
_cell_length_b 6.263
_cell_length_c 8.133
_cell_angle_alpha 97.44
_cell_angle_beta 90.00
_cell_angle_gamma 114.17
_space_group_name_H-M_alt 'P 1'
_space_group_IT_number 1
_space_group_name_Hall 'P 1'
loop_
_atom_site_label
_atom_site_type_symbol
_atom_site_fract_x
_atom_site_fract_y
_atom_site_fract_z
La1 La 0.142 0.284 0.425
La2 La 0.858 0.716 0.575
Pm1 Pm 0.715 0.430 0.140
Pm2 Pm 0.285 0.570 0.860
Dy1 Dy 0.000 0.000 0.000
Er1 Er 0.570 0.141 0.717
Er2 Er 0.430 0.859 0.283

---

No. 12
# LaPm3Dy2Er6 PBE relaxed
# Formation energy from the elements: 22 kJ/mol of formula units
# E: -4.628 eV/atom
data_LaPm3Dy2Er6
_chemical_formula_sum 'La1 Pm3 Dy2 Er6'
_cell_length_a 6.191
_cell_length_b 6.191
_cell_length_c 11.772
_cell_angle_alpha 95.01
_cell_angle_beta 95.01
_cell_angle_gamma 119.98
_space_group_name_H-M_alt 'P 1'
_space_group_IT_number 1
_space_group_name_Hall 'P 1'
loop_
_atom_site_label
_atom_site_type_symbol
_atom_site_fract_x
_atom_site_fract_y
_atom_site_fract_z
La1 La 0.000 0.000 0.000
Pm1 Pm 0.167 0.833 0.500
Pm2 Pm 0.833 0.167 0.500
Pm3 Pm 0.500 0.500 0.500
Dy1 Dy 0.333 0.667 0.000
Dy2 Dy 0.667 0.333 0.000
Er1 Er 0.916 0.582 0.750
Er2 Er 0.749 0.749 0.250
Er3 Er 0.084 0.418 0.250
Er4 Er 0.582 0.916 0.750
Er5 Er 0.251 0.251 0.750
Er6 Er 0.418 0.084 0.250

---

Which of these has the highest formation energy from the elements? LaPm2Dy5Er